[1]
This record from Alexandria describes a relaxed structure of TcNi2GeN. The functional is PBE-GGA.

Unit cell a=3.830 b=3.830 c=4.041 alpha=90.00 beta=90.00 gamma=90.00
Fractional coordinates of all 5 atoms:
Ge: 0.500 0.500 0.500
N: 0.000 0.000 0.000
Tc: 0.000 0.000 0.500
Ni: 0.000 0.500 0.000
Ni: 0.500 0.000 0.000

Values from the calculation:
Density in g/cm³: 8.461
Space-group type: No. 123
Volume in Å³/atom: 11.855
Energy in eV for the cell shown: -34.63

[2]
This record from Alexandria describes a relaxed structure of MnCrCo2. The functional is PBE-GGA.

Unit cell a=4.327 b=4.327 c=4.327 alpha=131.83 beta=131.83 gamma=70.50
Fractional coordinates of all 4 atoms:
Co: 0.250 0.750 0.500
Co: 0.000 0.000 0.000
Mn: 0.750 0.250 0.500
Cr: 0.500 0.500 0.000

Values from the calculation:
Density in g/cm³: 8.470
Formation enthalpy at 0 K in eV/f.u.: 0.18
Space-group type: No. 119
Volume in Å³/atom: 11.018

no.,Fermi-level density of states (states/eV/f.u.)
1,4.1
2,4.9